First-principles (PBE-GGA) data for a relaxed structure of CaPu2MgO8, as listed in Alexandria.

Values from the calculation:
V   165 Å³ per cell
Crystal system   orthorhombic
Total energy   -104.16 eV per formula unit
ΔE_f (raw)   -2.686 eV/atom
Fermi-level density of states   3.63 states/eV per cell

a = 4.8847 Å, b = 4.8847 Å, c = 6.9089 Å
α = 90.00°, β = 90.00°, γ = 92.87°
Fractional positions:
Ca (0.0000, 0.0000, 0.0000)
Pu (0.5000, 0.5000, 0.2561)
Pu (0.5000, 0.5000, 0.7439)
Mg (0.0000, 0.0000, 0.5000)
O (0.2124, 0.2124, 0.2681)
O (0.2124, 0.2124, 0.7319)
O (0.3090, 0.6910, 0.5000)
O (0.3228, 0.6772, 0.0000)
O (0.6772, 0.3228, 0.0000)
O (0.6910, 0.3090, 0.5000)
O (0.7876, 0.7876, 0.2681)
O (0.7876, 0.7876, 0.7319)